(1)
Material: Sc4GaCoN2
Method: DFT, PBE
State: optimized geometry

Lattice parameters (Å, degrees): 3.1768 3.1768 13.5240 90.00 90.00 120.00
Each line ends with the local moment (μB).
Sites, in units of the cell vectors:
Co: 0.0000 0.0000 0.0000  -0.69
Sc: 0.6667 0.3333 0.1410  0.21
Sc: 0.0000 0.0000 0.6719  0.02
Sc: 0.6667 0.3333 0.8590  0.21
Sc: 0.0000 0.0000 0.3281  0.02
Ga: 0.6667 0.3333 0.5000  0.00
N: 0.3333 0.6667 0.7579  0.00
N: 0.3333 0.6667 0.2421  0.00

Results
final energy = -0.5549 Ry/atom
space-group type = P-6m2 (187)



(2)
Material: Y4GaCoN2
Method: DFT, PBE
State: optimized geometry

Lattice parameters (Å, degrees): 3.4919 3.4919 14.2684 90.00 90.00 120.00
Each line ends with the local moment (μB).
Sites, in units of the cell vectors:
Co: 0.0000 0.0000 0.5000  -1.01
N: 0.6667 0.3333 0.7413  0.00
Ga: 0.3333 0.6667 0.0000  0.00
N: 0.6667 0.3333 0.2587  0.00
Y: 0.0000 0.0000 0.1680  0.03
Y: 0.3333 0.6667 0.6377  0.19
Y: 0.0000 0.0000 0.8320  0.04
Y: 0.3333 0.6667 0.3623  0.19

Results
final energy = -0.5448 Ry/atom
space-group type = P-6m2 (187)



| no. | magnetization (μB per atom) |
| --- | --- |
| 1 | 0.010 |
| 2 | 0.015 |